Record 1
DFT (PBE-GGA) results for a relaxed AsPd2 crystal.

```
AsPd2
1.0
-1.597 1.597 4.668
1.597 -1.597 4.668
1.597 1.597 -4.668
As Pd
1 2
Direct
0.000 0.000 0.000
0.347 0.347 0.000
0.653 0.653 0.000
```

Properties
- crystal system = tetragonal
- formation enthalpy at 0 K (meV per atom) = -262.9

Record 2
DFT (PBE-GGA) results for a relaxed AsPd12 crystal.

```
AsPd12
1.0
-3.718 3.718 3.718
3.718 -3.718 3.718
3.718 3.718 -3.718
As Pd
1 12
Direct
0.000 0.000 0.000
0.129 0.311 0.818
0.182 0.493 0.311
0.182 0.871 0.689
0.311 0.182 0.493
0.311 0.818 0.129
0.493 0.311 0.182
0.507 0.689 0.818
0.689 0.182 0.871
0.689 0.818 0.507
0.818 0.129 0.311
0.818 0.507 0.689
0.871 0.689 0.182
```

Properties
- crystal system = cubic
- formation enthalpy at 0 K (meV per atom) = 7.5

Record 3
DFT (PBE-GGA) results for a relaxed AsPd4 crystal.

```
AsPd4
1.0
0.000 5.969 2.759
4.875 0.000 2.759
4.875 5.969 0.000
As Pd
2 8
Direct
0.000 0.000 0.000
0.250 0.250 0.250
0.258 0.449 0.873
0.377 0.830 0.992
0.429 0.802 0.339
0.449 0.258 0.420
0.802 0.429 0.429
0.821 0.911 0.448
0.830 0.377 0.801
0.911 0.821 0.821
```

Properties
- crystal system = orthorhombic
- formation enthalpy at 0 K (meV per atom) = -219.8